#i
This record from Alexandria via LeMat-Bulk describes crystalline Na3Li2Hg4 at its relaxed geometry. The functional is PBE-GGA.

Summary:
size of the total moment	0.000	μB per atom

a = 5.0712 Å, b = 5.8530 Å, c = 9.3925 Å
α = 119.45°, β = 90.00°, γ = 115.67°
Atoms (fractional coordinates):
Hg1 0.0662 0.1325 0.3908
Hg2 0.7060 0.4120 0.0515
Hg3 0.2940 0.5880 0.9485
Hg4 0.9338 0.8675 0.6092
Li1 0.6303 0.2607 0.2968
Li2 0.3697 0.7393 0.7032
Na1 0.3402 0.6803 0.3251
Na2 0.6598 0.3197 0.6749
Na3 0.0000 0.0000 0.0000

=====

#ii
This record from Alexandria via LeMat-Bulk describes crystalline Na3Li2Hg4 at its relaxed geometry. The functional is PBE-GGA.

Summary:
size of the total moment	0.000	μB per atom

a = 5.1059 Å, b = 5.2576 Å, c = 9.2249 Å
α = 95.28°, β = 90.00°, γ = 119.05°
Atoms (fractional coordinates):
Na1 0.6317 0.2635 0.7590
Na2 0.3683 0.7365 0.2410
Na3 0.0000 0.0000 0.0000
Hg1 0.3165 0.6331 0.8875
Hg2 0.6835 0.3669 0.1125
Hg3 0.9440 0.8880 0.6446
Hg4 0.0560 0.1120 0.3554
Li1 0.2949 0.5899 0.5848
Li2 0.7051 0.4101 0.4152

=====

In terms of stability, #ii leads; the second structure lies 6 meV per atom higher.

=====

#i
This record from Alexandria via LeMat-Bulk describes crystalline NaLiHg2Pb at its relaxed geometry. The functional is PBE-GGA.

Summary:
size of the total moment	0.000	μB per atom

a = 5.1139 Å, b = 5.1139 Å, c = 5.1234 Å
α = 90.00°, β = 90.00°, γ = 90.00°
Atoms (fractional coordinates):
Na1 0.5000 0.5000 0.5000
Hg1 0.5000 0.0000 0.0000
Hg2 0.0000 0.5000 0.0000
Pb1 0.0000 0.0000 0.5000
Li1 0.0000 0.0000 0.0000

=====

#ii
This record from Alexandria via LeMat-Bulk describes crystalline NaLiHg2Pb at its relaxed geometry. The functional is PBE-GGA.

Summary:
size of the total moment	0.000	μB per atom

a = 5.9002 Å, b = 5.9022 Å, c = 8.1568 Å
α = 111.21°, β = 90.00°, γ = 90.00°
Atoms (fractional coordinates):
Hg1 0.5000 0.7484 0.0000
Hg2 0.0000 0.7484 0.0000
Hg3 0.5000 0.2516 0.0000
Hg4 0.0000 0.2516 0.0000
Pb1 0.2500 0.2490 0.4980
Pb2 0.7500 0.7510 0.5020
Li1 0.7500 0.3586 0.7171
Li2 0.2500 0.6414 0.2829
Na1 0.7500 0.1538 0.3076
Na2 0.2500 0.8462 0.6924

=====

In terms of stability, #ii leads; the second structure lies 32 meV per atom higher.

=====

#i
This record from Alexandria via LeMat-Bulk describes crystalline RbNa2LiHg at its relaxed geometry. The functional is PBE-GGA.

Summary:
size of the total moment	0.000	μB per atom

a = 6.0355 Å, b = 6.0355 Å, c = 5.4548 Å
α = 90.00°, β = 90.00°, γ = 90.00°
Atoms (fractional coordinates):
Hg1 0.0000 0.0000 0.0000
Rb1 0.5000 0.5000 0.5000
Li1 0.0000 0.0000 0.5000
Na1 0.0000 0.5000 0.0000
Na2 0.5000 0.0000 0.0000

=====

#ii
This record from Alexandria via LeMat-Bulk describes crystalline RbNa2LiHg at its relaxed geometry. The functional is PBE-GGA.

Summary:
size of the total moment	0.000	μB per atom

a = 5.9042 Å, b = 5.9042 Å, c = 5.3906 Å
α = 90.00°, β = 90.00°, γ = 90.00°
Atoms (fractional coordinates):
Na1 0.5000 0.0000 0.0000
Na2 0.0000 0.5000 0.0000
Li1 0.0000 0.0000 0.0000
Hg1 0.0000 0.0000 0.5000
Rb1 0.5000 0.5000 0.5000

=====

In terms of stability, #i leads; the second structure lies 27 meV per atom higher.

=====

#i
This record from Alexandria via LeMat-Bulk describes crystalline NaLiHgSb at its relaxed geometry. The functional is PBE-GGA.

Summary:
size of the total moment	0.000	μB per atom

a = 5.0627 Å, b = 5.0627 Å, c = 5.0627 Å
α = 60.00°, β = 60.00°, γ = 60.00°
Atoms (fractional coordinates):
Sb1 0.2500 0.2500 0.2500
Li1 0.0000 0.0000 0.0000
Hg1 0.7500 0.7500 0.7500
Na1 0.5000 0.5000 0.5000

=====

#ii
This record from Alexandria via LeMat-Bulk describes crystalline NaLiHgSb at its relaxed geometry. The functional is PBE-GGA.

Summary:
size of the total moment	0.000	μB per atom

a = 4.6508 Å, b = 4.6573 Å, c = 5.4027 Å
α = 90.05°, β = 90.00°, γ = 119.95°
Atoms (fractional coordinates):
Na1 0.5715 0.1430 0.4565
Hg1 0.2385 0.4770 0.1893
Sb1 0.9056 0.8113 0.8918
Li1 0.2387 0.4774 0.7015

=====

In terms of stability, #i leads; the second structure lies 98 meV per atom higher.

=====

#i
This record from Alexandria via LeMat-Bulk describes crystalline NaLiSnHg at its relaxed geometry. The functional is PBE-GGA.

Summary:
size of the total moment	0.000	μB per atom

a = 5.0203 Å, b = 5.0203 Å, c = 5.0203 Å
α = 60.00°, β = 60.00°, γ = 60.00°
Atoms (fractional coordinates):
Sn1 0.2500 0.2500 0.2500
Na1 0.7500 0.7500 0.7500
Hg1 0.5000 0.5000 0.5000
Li1 0.0000 0.0000 0.0000

=====

#ii
This record from Alexandria via LeMat-Bulk describes crystalline NaLiSnHg at its relaxed geometry. The functional is PBE-GGA.

Summary:
size of the total moment	0.000	μB per atom

a = 3.2072 Å, b = 3.2072 Å, c = 8.8248 Å
α = 90.00°, β = 90.00°, γ = 90.00°
Atoms (fractional coordinates):
Li1 0.0000 0.0000 0.5611
Sn1 0.5000 0.5000 0.7916
Hg1 0.5000 0.5000 0.3498
Na1 0.0000 0.0000 0.0822

=====

In terms of stability, #ii leads; the second structure lies 28 meV per atom higher.

=====

#i
This record from Alexandria via LeMat-Bulk describes crystalline NaSrLi2Hg at its relaxed geometry. The functional is PBE-GGA.

Summary:
size of the total moment	0.000	μB per atom

a = 5.3769 Å, b = 5.3769 Å, c = 6.1440 Å
α = 90.00°, β = 90.00°, γ = 90.00°
Atoms (fractional coordinates):
Hg1 0.0000 0.0000 0.0000
Sr1 0.0000 0.0000 0.5000
Li1 0.5000 0.0000 0.0000
Li2 0.0000 0.5000 0.0000
Na1 0.5000 0.5000 0.5000

=====

#ii
This record from Alexandria via LeMat-Bulk describes crystalline NaSrLi2Hg at its relaxed geometry. The functional is PBE-GGA.

Summary:
size of the total moment	0.000	μB per atom

a = 5.2911 Å, b = 5.2911 Å, c = 5.6610 Å
α = 90.00°, β = 90.00°, γ = 90.00°
Atoms (fractional coordinates):
Li1 0.0000 0.5000 0.0000
Li2 0.5000 0.0000 0.0000
Na1 0.0000 0.0000 0.5000
Sr1 0.5000 0.5000 0.5000
Hg1 0.0000 0.0000 0.0000

=====

In terms of stability, #ii leads; the second structure lies 27 meV per atom higher.